## A
# Re4Ni3 (PBE, relaxed)
# Magnetic moment (μB per cell): 0.2
data_Re4Ni3
_symmetry_space_group_name_H-M 'P 6/m m m'
_symmetry_Int_Tables_number 191
_symmetry_space_group_name_Hall '-P 6 2'
_cell_length_a 4.6559
_cell_length_b 4.6559
_cell_length_c 4.8985
_cell_angle_alpha 90.00
_cell_angle_beta 90.00
_cell_angle_gamma 120.00
loop_
_atom_site_label
_atom_site_fract_x
_atom_site_fract_y
_atom_site_fract_z
Re1 0.0000 0.0000 0.2471
Re2 0.3333 0.6667 0.0000
Ni1 0.0000 0.5000 0.5000

## B
# Re4Ni3 (PBE, relaxed)
# Magnetic moment (μB per cell): 0.0
data_Re4Ni3
_symmetry_space_group_name_H-M 'I 4/m m m'
_symmetry_Int_Tables_number 139
_symmetry_space_group_name_Hall '-I 4 2'
_cell_length_a 3.145
_cell_length_b 3.145
_cell_length_c 18.914
_cell_angle_alpha 90.00
_cell_angle_beta 90.00
_cell_angle_gamma 90.00
loop_
_atom_site_label
_atom_site_fract_x
_atom_site_fract_y
_atom_site_fract_z
Re1 0.000 0.000 0.070
Re2 0.000 0.000 0.354
Ni1 0.000 0.000 0.221
Ni2 0.000 0.000 0.500

Most favorable structure: B. The second most favorable one is 1.3 kJ/mol of atoms above it.